Entry from Alexandria via LeMat-Bulk: a crystal of Ba3Mg relaxed with PBEsol (SCAN).

Cell: 6.5279 8.1293 8.1293 Å, 120.00 90.00 90.00°
Positions (direct):
Ba: 0.7500 0.1724 0.3448
Ba: 0.2500 0.8276 0.6552
Ba: 0.7500 0.1724 0.8276
Ba: 0.2500 0.8276 0.1724
Ba: 0.7500 0.6552 0.8276
Ba: 0.2500 0.3448 0.1724
Mg: 0.7500 0.6667 0.3333
Mg: 0.2500 0.3333 0.6667

Calculated values
ΔE_f   0.050 eV/atom
Total energy   -30.856 eV/atom
Space group   P6_3/mmc
ΔE to the lowest computed polymorph   0.0594 eV/atom